# Ce2YMgIn4 PBE optimized geometry
data_Ce2YMgIn4
_chemical_formula_sum 'Ce6 Y3 Mg3 In12'
_space_group_name_H-M_alt 'R -3 m'
_space_group_IT_number 166
_space_group_name_Hall '-R 3 2"'
_cell_length_a 5.2923
_cell_length_b 5.2923
_cell_length_c 26.6448
_cell_angle_alpha 90.00
_cell_angle_beta 90.00
_cell_angle_gamma 120.00
loop_
_atom_site_label
_atom_site_type_symbol
_atom_site_fract_x
_atom_site_fract_y
_atom_site_fract_z
Ce1 Ce 0.0000 0.0000 0.2435
Y1 Y 0.0000 0.0000 0.0000
Mg1 Mg 0.0000 0.0000 0.5000
In1 In 0.0000 0.0000 0.1236
In2 In 0.0000 0.0000 0.3748
# * crystal system: trigonal
# * M_tot: 1.827 μB per formula unit
# * electronic total energy: -4.217 eV per atom

=====

# CeMg2Zn2In2 PBE optimized geometry
data_CeMg2Zn2In2
_chemical_formula_sum 'Ce3 Mg6 Zn6 In6'
_space_group_name_H-M_alt 'R -3 m'
_space_group_IT_number 166
_space_group_name_Hall '-R 3 2"'
_cell_length_a 4.6705
_cell_length_b 4.6705
_cell_length_c 25.7836
_cell_angle_alpha 90.00
_cell_angle_beta 90.00
_cell_angle_gamma 120.00
loop_
_atom_site_label
_atom_site_type_symbol
_atom_site_fract_x
_atom_site_fract_y
_atom_site_fract_z
Ce1 Ce 0.0000 0.0000 0.0000
Mg1 Mg 0.0000 0.0000 0.1341
Zn1 Zn 0.0000 0.0000 0.3968
In1 In 0.0000 0.0000 0.2532
# * crystal system: trigonal
# * M_tot: 0.829 μB per formula unit
# * electronic total energy: -2.673 eV per atom

=====

# CeMgZnIn PBE optimized geometry
data_CeMgZnIn
_chemical_formula_sum 'Ce4 Mg4 Zn4 In4'
_space_group_name_H-M_alt 'F -4 3 m'
_space_group_IT_number 216
_space_group_name_Hall 'F -4 2 3'
_cell_length_a 7.210
_cell_length_b 7.210
_cell_length_c 7.210
_cell_angle_alpha 90.00
_cell_angle_beta 90.00
_cell_angle_gamma 90.00
loop_
_atom_site_label
_atom_site_type_symbol
_atom_site_fract_x
_atom_site_fract_y
_atom_site_fract_z
Ce1 Ce 0.000 0.000 0.000
Mg1 Mg 0.000 0.000 0.500
Zn1 Zn 0.250 0.250 0.750
In1 In 0.250 0.250 0.250
# * crystal system: cubic
# * M_tot: 0.847 μB per formula unit
# * electronic total energy: -3.158 eV per atom

=====

# Ce3MnIn PBE optimized geometry
data_Ce3MnIn
_chemical_formula_sum 'Ce3 Mn1 In1'
_space_group_name_H-M_alt 'P m -3 m'
_space_group_IT_number 221
_space_group_name_Hall '-P 4 2 3'
_cell_length_a 5.061
_cell_length_b 5.061
_cell_length_c 5.061
_cell_angle_alpha 90.00
_cell_angle_beta 90.00
_cell_angle_gamma 90.00
loop_
_atom_site_label
_atom_site_type_symbol
_atom_site_fract_x
_atom_site_fract_y
_atom_site_fract_z
Ce1 Ce 0.000 0.000 0.500
Mn1 Mn 0.000 0.000 0.000
In1 In 0.500 0.500 0.500
# * crystal system: cubic
# * M_tot: 0.745 μB per formula unit
# * electronic total energy: -6.108 eV per atom

=====

# Ce2MnIn8 PBE optimized geometry
data_Ce2MnIn8
_chemical_formula_sum 'Ce2 Mn1 In8'
_space_group_name_H-M_alt 'P 4/m m m'
_space_group_IT_number 123
_space_group_name_Hall '-P 4 2'
_cell_length_a 4.718
_cell_length_b 4.718
_cell_length_c 12.347
_cell_angle_alpha 90.00
_cell_angle_beta 90.00
_cell_angle_gamma 90.00
loop_
_atom_site_label
_atom_site_type_symbol
_atom_site_fract_x
_atom_site_fract_y
_atom_site_fract_z
Ce1 Ce 0.000 0.000 0.192
Mn1 Mn 0.000 0.000 0.500
In1 In 0.000 0.500 0.000
In2 In 0.000 0.500 0.377
In3 In 0.500 0.500 0.189
# * crystal system: tetragonal
# * M_tot: 4.522 μB per formula unit
# * electronic total energy: -4.173 eV per atom

=====

# CeMnIn PBE optimized geometry
data_CeMnIn
_chemical_formula_sum 'Ce1 Mn1 In1'
_space_group_name_H-M_alt 'P -6 m 2'
_space_group_IT_number 187
_space_group_name_Hall 'P -6 2'
_cell_length_a 4.8874
_cell_length_b 4.8874
_cell_length_c 3.3815
_cell_angle_alpha 90.00
_cell_angle_beta 90.00
_cell_angle_gamma 120.00
loop_
_atom_site_label
_atom_site_type_symbol
_atom_site_fract_x
_atom_site_fract_y
_atom_site_fract_z
Ce1 Ce 0.0000 0.0000 0.0000
Mn1 Mn 0.6667 0.3333 0.5000
In1 In 0.3333 0.6667 0.5000
# * crystal system: hexagonal
# * M_tot: 2.663 μB per formula unit
# * electronic total energy: -5.977 eV per atom

=====

# Ce2MnIn PBE optimized geometry
data_Ce2MnIn
_chemical_formula_sum 'Ce2 Mn1 In1'
_space_group_name_H-M_alt 'P 4/m m m'
_space_group_IT_number 123
_space_group_name_Hall '-P 4 2'
_cell_length_a 3.226
_cell_length_b 3.226
_cell_length_c 8.713
_cell_angle_alpha 90.00
_cell_angle_beta 90.00
_cell_angle_gamma 90.00
loop_
_atom_site_label
_atom_site_type_symbol
_atom_site_fract_x
_atom_site_fract_y
_atom_site_fract_z
Ce1 Ce 0.000 0.000 0.196
Mn1 Mn 0.500 0.500 0.000
In1 In 0.500 0.500 0.500
# * crystal system: tetragonal
# * M_tot: 0.001 μB per formula unit
# * electronic total energy: -5.995 eV per atom
# * distance to the lowest polymorph of the same formula: 81 meV/atom

=====

# Ce2MnIn PBE optimized geometry
data_Ce2MnIn
_chemical_formula_sum 'Ce2 Mn1 In1'
_space_group_name_H-M_alt 'P 4/m m m'
_space_group_IT_number 123
_space_group_name_Hall '-P 4 2'
_cell_length_a 4.431
_cell_length_b 4.431
_cell_length_c 4.782
_cell_angle_alpha 90.00
_cell_angle_beta 90.00
_cell_angle_gamma 90.00
loop_
_atom_site_label
_atom_site_type_symbol
_atom_site_fract_x
_atom_site_fract_y
_atom_site_fract_z
Ce1 Ce 0.000 0.500 0.000
Mn1 Mn 0.000 0.000 0.500
In1 In 0.500 0.500 0.500
# * crystal system: tetragonal
# * M_tot: 1.838 μB per formula unit
# * electronic total energy: -5.996 eV per atom
# * distance to the lowest polymorph of the same formula: 81 meV/atom